# PBE BaScAs2, optimized geometry
data_BaScAs2
_chemical_formula_sum 'Ba1 Sc1 As2'
_symmetry_space_group_name_H-M 'P 4/m m m'
_symmetry_Int_Tables_number 123
_symmetry_space_group_name_Hall '-P 4 2'
_cell_length_a 5.6216
_cell_length_b 5.6216
_cell_length_c 3.2230
_cell_angle_alpha 90.00
_cell_angle_beta 90.00
_cell_angle_gamma 90.00
loop_
_atom_site_label
_atom_site_fract_x
_atom_site_fract_y
_atom_site_fract_z
Ba1 0.0000 0.0000 0.0000
Sc1 0.5000 0.5000 0.0000
As1 0.0000 0.5000 0.5000
# Excess energy over the best structure of this formula in the dataset: 413 meV per atom
# Energy of formation from the pure elements: -60 kJ per mole of atoms
# Energy: -20.03 eV/cell

---

# PBE CaPmDy2S4, optimized geometry
data_CaPmDy2S4
_chemical_formula_sum 'Ca1 Pm1 Dy2 S4'
_symmetry_space_group_name_H-M 'P 1 2/m 1'
_symmetry_Int_Tables_number 10
_cell_length_a 6.8666
_cell_length_b 3.9435
_cell_length_c 6.8848
_cell_angle_alpha 90.00
_cell_angle_beta 109.13
_cell_angle_gamma 90.00
loop_
_symmetry_equiv_pos_as_xyz
'x,y,z'
'-x,-y,-z'
'-x,y,-z'
'x,-y,z'
loop_
_atom_site_label
_atom_site_fract_x
_atom_site_fract_y
_atom_site_fract_z
Ca1 0.0000 0.0000 0.0000
Pm1 0.0000 0.5000 0.5000
Dy1 0.5000 0.0000 0.5000
Dy2 0.5000 0.5000 0.0000
S1 0.2571 0.5000 0.2493
S2 0.2586 0.0000 0.7570
# Energy relative to the elements, uncorrected: -2.031 eV per atom
# Energy: -48.71 eV/cell

---

# PBE DyNiBiRh, optimized geometry
data_DyNiBiRh
_chemical_formula_sum 'Dy4 Ni4 Bi4 Rh4'
_symmetry_space_group_name_H-M 'F -4 3 m'
_symmetry_Int_Tables_number 216
_symmetry_space_group_name_Hall 'F -4 2 3'
_cell_length_a 6.7384
_cell_length_b 6.7384
_cell_length_c 6.7384
_cell_angle_alpha 90.00
_cell_angle_beta 90.00
_cell_angle_gamma 90.00
loop_
_atom_site_label
_atom_site_fract_x
_atom_site_fract_y
_atom_site_fract_z
Dy1 0.0000 0.0000 0.0000
Ni1 0.2500 0.2500 0.7500
Bi1 0.0000 0.0000 0.5000
Rh1 0.2500 0.2500 0.2500
# Energy of formation from the pure elements: -39 kJ per mole of atoms
# Energy: -92.98 eV/cell